No. 1
## MgCuSi3 (PBE)

Data for a geometry-optimized MgCuSi3 structure.

The calculation puts the energy above the most stable polymorph in this dataset at 0.00 eV per formula unit. The magnetic moment is 0.000 μB/cell. The calculated density is 2.96 g/cm3. The space group is Pm-3m.

Lattice parameters (Å, degrees): 4.585 4.585 4.585 90.00 90.00 90.00
Sites, in units of the cell vectors:
Cu  0.000  0.000  0.000
Si  0.000  0.000  0.500
Mg  0.500  0.500  0.500
Si  0.000  0.500  0.000
Si  0.500  0.000  0.000

=====

No. 2
## MgCuSi2 (PBE)

Data for a geometry-optimized MgCuSi2 structure.

The magnetic moment is 0.000 μB/cell. As for the raw total energy: -3.97 eV per atom. The calculated density is 3.96 g/cm3. The space group is P2/m.

Lattice parameters (Å, degrees): 2.890 4.880 5.456 51.73 90.00 90.00
Sites, in units of the cell vectors:
Si  0.500  0.500  0.000
Cu  0.500  0.500  0.500
Mg  0.000  0.000  0.500
Si  0.000  0.000  0.000

=====

No. 3
## MgCu2Si2 (PBE)

Data for a geometry-optimized MgCu2Si2 structure.

The calculation puts the energy above the most stable polymorph in this dataset at 0.29 eV per formula unit. The magnetic moment is 0.000 μB/cell. The calculated density is 4.63 g/cm3. The space group is I4/mmm.

Lattice parameters (Å, degrees): 3.595 3.595 6.301 73.43 73.43 90.00
Sites, in units of the cell vectors:
Cu  0.607  0.607  0.786
Mg  0.000  0.000  0.000
Si  0.750  0.250  0.500
Si  0.250  0.750  0.500
Cu  0.393  0.393  0.214

=====

No. 4
## MgCuSi2 (PBE)

Data for a geometry-optimized MgCuSi2 structure.

The magnetic moment is 0.000 μB/cell. As for the raw total energy: -3.83 eV per atom. The calculated density is 3.84 g/cm3. The space group is F-43m.

Lattice parameters (Å, degrees): 4.449 4.449 4.449 60.00 60.00 60.00
Sites, in units of the cell vectors:
Si  0.250  0.250  0.250
Si  0.000  0.000  0.000
Mg  0.750  0.750  0.750
Cu  0.500  0.500  0.500

=====

No. 5
## MgCuSi2 (PBE)

Data for a geometry-optimized MgCuSi2 structure.

The magnetic moment is 0.000 μB/cell. As for the raw total energy: -3.99 eV per atom. The calculated density is 4.01 g/cm3. The space group is Pmmm.

Lattice parameters (Å, degrees): 3.827 3.958 3.933 90.00 90.00 90.00
Sites, in units of the cell vectors:
Si  0.500  0.500  0.000
Si  0.000  0.000  0.000
Cu  0.500  0.000  0.500
Mg  0.000  0.500  0.500

=====

No. 6
## MgCuSi2 (PBE)

Data for a geometry-optimized MgCuSi2 structure.

The magnetic moment is 0.000 μB/cell. As for the raw total energy: -3.96 eV per atom. The calculated density is 3.75 g/cm3. The space group is P4/mmm.

Lattice parameters (Å, degrees): 3.296 3.296 5.866 90.00 90.00 90.00
Sites, in units of the cell vectors:
Mg  0.500  0.500  0.750
Cu  0.500  0.500  0.250
Si  0.000  0.000  0.453
Si  0.000  0.000  0.047

=====

No. 7
## Mg3CuSi (PBE)

Data for a geometry-optimized Mg3CuSi structure.

The calculation puts the energy above the most stable polymorph in this dataset at 0.15 eV per formula unit. The magnetic moment is 0.000 μB/cell. The calculated density is 2.23 g/cm3. The space group is Pm-3m.

Lattice parameters (Å, degrees): 4.964 4.964 4.964 90.00 90.00 90.00
Sites, in units of the cell vectors:
Cu  0.500  0.500  0.500
Mg  0.000  0.500  0.000
Mg  0.000  0.000  0.500
Si  0.000  0.000  0.000
Mg  0.500  0.000  0.000

=====

No. 8
## MgCuSi2 (PBE)

Data for a geometry-optimized MgCuSi2 structure.

The magnetic moment is 0.000 μB/cell. As for the raw total energy: -3.98 eV per atom. The calculated density is 3.91 g/cm3. The space group is P4mm.

Lattice parameters (Å, degrees): 3.358 3.358 5.418 90.00 90.00 90.00
Sites, in units of the cell vectors:
Mg  0.500  0.500  0.743
Cu  0.000  0.000  0.479
Si  0.000  0.000  0.037
Si  0.500  0.500  0.241

=====

No. 9
## MgCu4Si2 (PBE)

Data for a geometry-optimized MgCu4Si2 structure.

The magnetic moment is 0.000 μB/cell. As for the raw total energy: -4.18 eV per atom. The calculated density is 5.60 g/cm3. The space group is R-3m.

Lattice parameters (Å, degrees): 4.060 4.060 7.336 73.94 73.94 60.00
Sites, in units of the cell vectors:
Si  0.753  0.753  0.742
Si  0.247  0.247  0.258
Mg  0.000  0.000  0.000
Cu  0.869  0.869  0.392
Cu  0.131  0.131  0.608
Cu  0.595  0.595  0.215
Cu  0.405  0.405  0.785

=====

No. 10
## Mg2CuSi (PBE)

Data for a geometry-optimized Mg2CuSi structure.

The magnetic moment is 0.000 μB/cell. As for the raw total energy: -3.19 eV per atom. The calculated density is 3.43 g/cm3. The space group is Cm.

Lattice parameters (Å, degrees): 5.266 5.266 4.667 71.77 71.77 33.66
Sites, in units of the cell vectors:
Cu  0.222  0.222  0.231
Si  0.532  0.532  0.510
Mg  0.768  0.768  0.709
Mg  0.978  0.978  0.051

=====

No. 11
## Mg2CuSi (PBE)

Data for a geometry-optimized Mg2CuSi structure.

The magnetic moment is 0.000 μB/cell. As for the raw total energy: -3.17 eV per atom. The calculated density is 3.41 g/cm3. The space group is Imm2.

Lattice parameters (Å, degrees): 5.459 5.459 5.459 145.05 132.17 60.59
Sites, in units of the cell vectors:
Si  0.466  0.466  0.000
Cu  0.277  0.777  0.500
Mg  0.020  0.020  0.000
Mg  0.737  0.237  0.500

=====

No. 12
## Mg2CuSi (PBE)

Data for a geometry-optimized Mg2CuSi structure.

The magnetic moment is 0.000 μB/cell. As for the raw total energy: -3.04 eV per atom. The calculated density is 3.45 g/cm3. The space group is R-3m.

Lattice parameters (Å, degrees): 9.313 9.313 9.313 18.03 18.03 18.03
Sites, in units of the cell vectors:
Si  0.250  0.250  0.250
Mg  0.005  0.005  0.005
Cu  0.750  0.750  0.750
Mg  0.495  0.495  0.495